Computed, not measured: a relaxed Zr2PW crystal at the GGA-PBE level of DFT.

Cell: 3.5161 5.0080 8.4616 Å, 90.00 90.00 90.00°
Sites, in units of the cell vectors:
1 Zr 0.0000 0.0000 0.0000
2 Zr 0.0000 0.5000 0.3127
3 Zr 0.5000 0.0000 0.3127
4 Zr 0.5000 0.5000 0.0000
5 P 0.0000 0.0000 0.5348
6 P 0.5000 0.5000 0.5348
7 W 0.0000 0.5000 0.7351
8 W 0.5000 0.0000 0.7351

Properties
Symmetry = No. 35
Volume = 18.6 Å³ per atom
Crystal system = orthorhombic
Spin magnetization = 0.000 μB/f.u.


Computed, not measured: a relaxed Dy3YTmTh crystal at the GGA-PBE level of DFT.

Cell: 7.9191 5.0303 10.0446 Å, 90.00 108.49 90.00°
Sites, in units of the cell vectors:
1 Dy 0.1694 0.2500 0.0428
2 Dy 0.1749 0.2500 0.5439
3 Dy 0.1750 0.7500 0.2922
4 Dy 0.8250 0.2500 0.7078
5 Dy 0.8251 0.7500 0.4561
6 Dy 0.8306 0.7500 0.9572
7 Y 0.1679 0.7500 0.7923
8 Y 0.8321 0.2500 0.2077
9 Tm 0.5000 0.2500 0.8726
10 Tm 0.5000 0.7500 0.1274
11 Th 0.4989 0.2500 0.3774
12 Th 0.5011 0.7500 0.6226

Properties
Symmetry = No. 11
Volume = 31.6 Å³ per atom
Crystal system = monoclinic
Spin magnetization = 0.000 μB/f.u.


Number 1: DOS(E_F) 4.3 states/eV/f.u., ΔH_f (0 K) -124 meV per atom. Number 2: DOS(E_F) 8.9 states/eV/f.u., ΔH_f (0 K) 27 meV per atom.